Record 1
Density functional theory data (PBE-GGA) for a relaxed Ni4PdPt3 crystal.

Results
* symmetry: Imm2, No. 44
* calculated formation energy: 173.7 meV/atom

Lattice parameters (Å, degrees): 5.7263 5.7263 5.7263 126.32 76.70 129.62
Last column: nearest neighbours and their distance in Å.
Atoms (fractional coordinates):
Ni: 0.1835 0.4247 0.2412  4 Ni 2.49-2.68, 1 Pd 2.57, 4 Pt 2.59-2.75
Ni: 0.1835 0.9423 0.7588  4 Ni 2.49-2.68, 1 Pd 2.57, 4 Pt 2.59-2.75
Ni: 0.2221 0.0000 0.2221  5 Pt 2.47-2.59, 2 Ni 2.52, 1 Pd 2.58
Ni: 0.7779 0.0000 0.7779  5 Pt 2.47-2.59, 2 Ni 2.52, 1 Pd 2.58
Pd: 0.6337 0.1337 0.5000  4 Ni 2.57-2.58, 4 Pt 2.60-2.68
Pt: 0.2213 0.4967 0.7246  6 Ni 2.47-2.59, 1 Pt 2.63, 1 Pd 2.68
Pt: 0.6808 0.6808 0.0000  6 Ni 2.53-2.75, 2 Pd 2.60, 2 Pt 2.63
Pt: 0.7721 0.4967 0.2754  6 Ni 2.47-2.59, 1 Pt 2.63, 1 Pd 2.68

Record 2
Density functional theory data (PBE-GGA) for a relaxed YZr3Fe crystal.

Results
* symmetry: Pm-3m, No. 221
* calculated formation energy: 2007.3 meV/atom

Lattice parameters (Å, degrees): 5.0861 5.0861 5.0861 90.00 90.00 90.00
Last column: nearest neighbours and their distance in Å.
Atoms (fractional coordinates):
Y: 0.0000 0.0000 0.0000  6 Zr 2.54
Zr: 0.0000 0.0000 0.5000  2 Y 2.54
Zr: 0.0000 0.5000 0.0000  2 Y 2.54
Zr: 0.5000 0.0000 0.0000  2 Y 2.54
Fe: 0.5000 0.5000 0.5000  12 Zr 3.60

Record 3
Density functional theory data (PBE-GGA) for a relaxed SrCa2SmS4 crystal.

Results
* energy relative to the elements, uncorrected: -2081 meV/atom
* symmetry: P2/m, No. 10

Lattice parameters (Å, degrees): 7.0610 4.0728 7.0976 90.00 109.37 90.00
Last column: nearest neighbours and their distance in Å.
Atoms (fractional coordinates):
Sr: 0.0000 0.0000 0.0000  6 S 2.94
Ca: 0.5000 0.0000 0.5000  6 S 2.83
Ca: 0.5000 0.5000 0.0000  6 S 2.90-2.91
Sm: 0.0000 0.5000 0.5000  6 S 2.87-2.88
S: 0.2533 0.0000 0.7440  3 Ca 2.83-2.90, 2 Sm 2.88, 1 Sr 2.94
S: 0.2578 0.5000 0.2612  3 Ca 2.83-2.91, 1 Sm 2.87, 2 Sr 2.94
S: 0.7422 0.5000 0.7388  3 Ca 2.83-2.91, 1 Sm 2.87, 2 Sr 2.94
S: 0.7467 0.0000 0.2560  3 Ca 2.83-2.90, 2 Sm 2.88, 1 Sr 2.94

What electronic total energy values result from the calculations? In sequence: -5.63; -6.11; -5.45 eV per atom.